Record 1
{"formula": "Mn2ReP", "functional": "PBE-GGA", "state": "relaxed", "total_magnetization_mub_per_fu": 0.00, "delta_e_f_kj_per_mol_atoms": -16, "cell": [[-2.2137, -3.4199, 2.5296], [-1.6749, -3.7865, -2.4191], [3.8562, 2.5906, 1.1890]], "species": ["Re", "Mn", "Mn", "P"], "frac_coords": [[0.2500, 0.7500, 0.5000], [0.9713, 0.9713, 0.0000], [0.5287, 0.5287, 0.0000], [0.7500, 0.2500, 0.5000]]}

***

Record 2
{"formula": "Mn4ReP", "functional": "PBE-GGA", "state": "relaxed", "total_magnetization_mub_per_fu": 2.24, "delta_e_f_kj_per_mol_atoms": 29, "cell": [[0.8077, -4.5428, -0.5344], [-2.0467, -3.0705, 2.8211], [-3.3473, -2.7783, -1.6284]], "species": ["Mn", "Re", "Mn", "P", "Mn", "Mn"], "frac_coords": [[0.8713, 0.3762, 0.3762], [0.0000, 0.0000, 0.0000], [0.3762, 0.8713, 0.3762], [0.7500, 0.7500, 0.7500], [0.3762, 0.3762, 0.8713], [0.3762, 0.3762, 0.3762]]}

***

Record 3
{"formula": "Mn21Re2P6", "functional": "PBE-GGA", "state": "relaxed", "total_magnetization_mub_per_fu": 13.90, "delta_e_f_kj_per_mol_atoms": -26, "cell": [[6.7534, 0.0000, 3.8991], [2.2511, 6.3672, 3.8991], [0.0000, 0.0000, 7.7982]], "species": ["P", "Mn", "Mn", "P", "Mn", "P", "P", "Mn", "Mn", "Mn", "Re", "Re", "Mn", "P", "Mn", "Mn", "Mn", "Mn", "Mn", "Mn", "Mn", "Mn", "Mn", "Mn", "Mn", "Mn", "P", "Mn", "Mn"], "frac_coords": [[0.7235, 0.7235, 0.2765], [0.6504, 0.0000, 0.0000], [0.0000, 0.6504, 0.3496], [0.2765, 0.2765, 0.7235], [0.3752, 0.3752, 0.3752], [0.7235, 0.2765, 0.2765], [0.7235, 0.2765, 0.7235], [0.3496, 0.6504, 0.0000], [0.0000, 0.6504, 0.0000], [0.0000, 0.3496, 0.0000], [0.2500, 0.2500, 0.2500], [0.7500, 0.7500, 0.7500], [0.3752, 0.8745, 0.3752], [0.2765, 0.7235, 0.7235], [0.0000, 0.0000, 0.0000], [0.1255, 0.6248, 0.6248], [0.3752, 0.3752, 0.8745], [0.6248, 0.6248, 0.1255], [0.6504, 0.3496, 0.0000], [0.3496, 0.0000, 0.0000], [0.6248, 0.6248, 0.6248], [0.3496, 0.0000, 0.6504], [0.6504, 0.0000, 0.3496], [0.0000, 0.0000, 0.3496], [0.6248, 0.1255, 0.6248], [0.8745, 0.3752, 0.3752], [0.2765, 0.7235, 0.2765], [0.0000, 0.3496, 0.6504], [0.0000, 0.0000, 0.6504]]}

***

Record 4
{"formula": "MnRe3P", "functional": "PBE-GGA", "state": "relaxed", "total_magnetization_mub_per_fu": 3.05, "delta_e_f_kj_per_mol_atoms": 85, "cell": [[4.3642, 0.0000, 0.0000], [0.0000, 4.3642, 0.0000], [0.0000, 0.0000, 4.3642]], "species": ["P", "Re", "Re", "Mn", "Re"], "frac_coords": [[0.0000, 0.0000, 0.0000], [0.0000, 0.0000, 0.5000], [0.0000, 0.5000, 0.0000], [0.5000, 0.5000, 0.5000], [0.5000, 0.0000, 0.0000]]}

***

Record 5
{"formula": "Mn2ReP", "functional": "PBE-GGA", "state": "relaxed", "total_magnetization_mub_per_fu": 1.31, "delta_e_f_kj_per_mol_atoms": 9, "cell": [[7.9171, -0.0134, -0.0079], [7.4561, 2.6623, -0.0079], [7.4561, 1.2848, 2.3318]], "species": ["Mn", "Mn", "P", "Re"], "frac_coords": [[0.9955, 0.9955, 0.9955], [0.2467, 0.2467, 0.2467], [0.5058, 0.5058, 0.5058], [0.7520, 0.7520, 0.7520]]}

***

Record 6
{"formula": "MnReP3", "functional": "PBE-GGA", "state": "relaxed", "total_magnetization_mub_per_fu": 2.80, "delta_e_f_kj_per_mol_atoms": 106, "cell": [[-2.4374, -3.5063, -0.6512], [1.4445, -0.2495, -4.0633], [3.2606, -2.5105, 1.3133]], "species": ["P", "P", "P", "Mn", "Re"], "frac_coords": [[0.0000, 0.5000, 0.0000], [0.5000, 0.0000, 0.0000], [0.0000, 0.0000, 0.5000], [0.0000, 0.0000, 0.0000], [0.5000, 0.5000, 0.5000]]}

***

Record 7
{"formula": "MnRe4P", "functional": "PBE-GGA", "state": "relaxed", "total_magnetization_mub_per_fu": 11.66, "delta_e_f_kj_per_mol_atoms": 350, "cell": [[5.1573, 3.4670, 4.1498], [-0.3995, -0.2780, 7.4566], [4.9932, -3.9982, 3.8627]], "species": ["Re", "P", "Mn", "Re", "Re", "Re"], "frac_coords": [[0.8729, 0.3812, 0.8729], [0.0000, 0.0000, 0.0000], [0.7500, 0.7500, 0.7500], [0.8729, 0.8729, 0.8729], [0.8729, 0.8729, 0.3812], [0.3812, 0.8729, 0.8729]]}

***

Record 8
{"formula": "Mn2ReP", "functional": "PBE-GGA", "state": "relaxed", "total_magnetization_mub_per_fu": 1.25, "delta_e_f_kj_per_mol_atoms": 75, "cell": [[5.1876, 0.0000, 0.0000], [0.0000, 5.1876, 0.0000], [2.5938, 2.5938, 5.1920]], "species": ["Mn", "Mn", "Re", "P", "P", "Mn", "Mn", "Re"], "frac_coords": [[0.8750, 0.8541, 0.7500], [0.3750, 0.3959, 0.7500], [0.0000, 0.0000, 0.0000], [0.5000, 0.5000, 0.0000], [0.2500, 0.7500, 0.5000], [0.6041, 0.1250, 0.2500], [0.1459, 0.6250, 0.2500], [0.7500, 0.2500, 0.5000]]}